Entry 1:
# PBE-GGA SrCaBi2Se, relaxed
# E (eV per atom): -2.99
data_SrCaBi2Se
_cell_length_a 6.070
_cell_length_b 5.643
_cell_length_c 6.070
_cell_angle_alpha 90.00
_cell_angle_beta 90.00
_cell_angle_gamma 90.00
_space_group_name_H-M_alt 'P 1'
_space_group_IT_number 1
_space_group_name_Hall 'P 1'
loop_
_atom_site_label
_atom_site_type_symbol
_atom_site_fract_x
_atom_site_fract_y
_atom_site_fract_z
Se1 Se 0.000 0.500 0.000
Bi1 Bi 0.000 0.000 0.500
Ca1 Ca 0.500 0.500 0.500
Sr1 Sr 0.000 0.000 0.000
Bi2 Bi 0.500 0.000 0.000

Entry 2:
# PBE-GGA TbGdTmLu, relaxed
# Energy relative to the elements (kJ/mol of atoms): 10.1
data_TbGdTmLu
_cell_length_a 5.612
_cell_length_b 5.612
_cell_length_c 5.612
_cell_angle_alpha 60.00
_cell_angle_beta 60.00
_cell_angle_gamma 60.00
_space_group_name_H-M_alt 'P 1'
_space_group_IT_number 1
_space_group_name_Hall 'P 1'
loop_
_atom_site_label
_atom_site_type_symbol
_atom_site_fract_x
_atom_site_fract_y
_atom_site_fract_z
Gd1 Gd 0.500 0.500 0.500
Tb1 Tb 0.000 0.000 0.000
Tm1 Tm 0.250 0.250 0.250
Lu1 Lu 0.750 0.750 0.750

Entry 3:
# PBE-GGA MgW5, relaxed
# Energy relative to the elements (kJ/mol of atoms): 47.3
# Energy relative to the lowest polymorph listed for this composition (eV/atom): 0.132
data_MgW5
_cell_length_a 5.564
_cell_length_b 5.564
_cell_length_c 7.177
_cell_angle_alpha 75.68
_cell_angle_beta 75.68
_cell_angle_gamma 27.64
_space_group_name_H-M_alt 'P 1'
_space_group_IT_number 1
_space_group_name_Hall 'P 1'
loop_
_atom_site_label
_atom_site_type_symbol
_atom_site_fract_x
_atom_site_fract_y
_atom_site_fract_z
W1 W 0.677 0.677 0.658
Mg1 Mg 0.275 0.275 0.954
W2 W 0.938 0.938 0.621
W3 W 0.334 0.334 0.317
W4 W 0.008 0.008 0.990
W5 W 0.602 0.602 0.294

Entry 4:
# PBE-GGA Li2TaFe, relaxed
# Energy relative to the elements (kJ/mol of atoms): 77.7
# Energy relative to the lowest polymorph listed for this composition (eV/atom): 0.747
data_Li2TaFe
_cell_length_a 6.977
_cell_length_b 6.977
_cell_length_c 5.480
_cell_angle_alpha 50.46
_cell_angle_beta 50.46
_cell_angle_gamma 90.00
_space_group_name_H-M_alt 'P 1'
_space_group_IT_number 1
_space_group_name_Hall 'P 1'
loop_
_atom_site_label
_atom_site_type_symbol
_atom_site_fract_x
_atom_site_fract_y
_atom_site_fract_z
Ta1 Ta 0.750 0.250 0.500
Li1 Li 0.156 0.625 0.250
Ta2 Ta 0.000 0.000 0.000
Li2 Li 0.875 0.844 0.750
Li3 Li 0.375 0.406 0.750
Li4 Li 0.594 0.125 0.250
Fe1 Fe 0.500 0.500 0.000
Fe2 Fe 0.250 0.750 0.500

Entry 5:
# PBE-GGA Tb8ZnRu2, relaxed
# Energy relative to the elements (kJ/mol of atoms): -15.3
data_Tb8ZnRu2
_cell_length_a 5.543
_cell_length_b 7.792
_cell_length_c 7.792
_cell_angle_alpha 112.31
_cell_angle_beta 97.90
_cell_angle_gamma 97.90
_space_group_name_H-M_alt 'P 1'
_space_group_IT_number 1
_space_group_name_Hall 'P 1'
loop_
_atom_site_label
_atom_site_type_symbol
_atom_site_fract_x
_atom_site_fract_y
_atom_site_fract_z
Zn1 Zn 0.006 0.002 0.002
Tb1 Tb 0.415 0.674 0.936
Tb2 Tb 0.584 0.333 0.071
Tb3 Tb 0.000 0.761 0.246
Tb4 Tb 0.196 0.381 0.381
Ru1 Ru 0.499 0.693 0.313
Tb5 Tb 0.584 0.071 0.333
Tb6 Tb 0.802 0.624 0.624
Tb7 Tb 0.000 0.246 0.761
Tb8 Tb 0.415 0.936 0.674
Ru2 Ru 0.499 0.313 0.693

Entry 6:
# PBE-GGA NdZrOs4, relaxed
# Energy relative to the elements (kJ/mol of atoms): -14.5
data_NdZrOs4
_cell_length_a 5.347
_cell_length_b 5.347
_cell_length_c 5.347
_cell_angle_alpha 60.00
_cell_angle_beta 60.00
_cell_angle_gamma 60.00
_space_group_name_H-M_alt 'P 1'
_space_group_IT_number 1
_space_group_name_Hall 'P 1'
loop_
_atom_site_label
_atom_site_type_symbol
_atom_site_fract_x
_atom_site_fract_y
_atom_site_fract_z
Os1 Os 0.625 0.124 0.625
Zr1 Zr 0.000 0.000 0.000
Os2 Os 0.625 0.625 0.625
Nd1 Nd 0.250 0.250 0.250
Os3 Os 0.124 0.625 0.625
Os4 Os 0.625 0.625 0.124

Entry 7:
# PBE-GGA SbP2Rh, relaxed
# E (eV per atom): -5.55
data_SbP2Rh
_cell_length_a 3.167
_cell_length_b 3.167
_cell_length_c 7.186
_cell_angle_alpha 90.00
_cell_angle_beta 90.00
_cell_angle_gamma 90.00
_space_group_name_H-M_alt 'P 1'
_space_group_IT_number 1
_space_group_name_Hall 'P 1'
loop_
_atom_site_label
_atom_site_type_symbol
_atom_site_fract_x
_atom_site_fract_y
_atom_site_fract_z
P1 P 0.500 0.500 0.242
Rh1 Rh 0.000 0.000 0.454
P2 P 0.000 0.000 0.110
Sb1 Sb 0.500 0.500 0.694

Entry 8:
# PBE-GGA Pm5Er4Zn, relaxed
# Energy relative to the elements (kJ/mol of atoms): -4.3
data_Pm5Er4Zn
_cell_length_a 3.612
_cell_length_b 3.612
_cell_length_c 23.690
_cell_angle_alpha 90.00
_cell_angle_beta 90.00
_cell_angle_gamma 90.00
_space_group_name_H-M_alt 'P 1'
_space_group_IT_number 1
_space_group_name_Hall 'P 1'
loop_
_atom_site_label
_atom_site_type_symbol
_atom_site_fract_x
_atom_site_fract_y
_atom_site_fract_z
Er1 Er 0.000 0.000 0.815
Pm1 Pm 0.500 0.500 0.077
Pm2 Pm 0.500 0.500 0.923
Pm3 Pm 0.500 0.500 0.500
Er2 Er 0.000 0.000 0.395
Pm4 Pm 0.500 0.500 0.710
Er3 Er 0.000 0.000 0.185
Zn1 Zn 0.000 0.000 0.000
Er4 Er 0.000 0.000 0.605
Pm5 Pm 0.500 0.500 0.290